The following is a DFT calculation (SCAN) of Fe3Co3Si2 at its PBEsol-relaxed geometry.

Unit cell a=3.9142 b=3.9142 c=19.1986 alpha=90.00 beta=90.00 gamma=120.00
Space group R3m (No. 160, hexagonal axes)
Inequivalent atoms, fractional coordinates:
Fe1 0.0000 0.0000 0.0000
Fe2 0.0000 0.0000 0.1240
Fe3 0.0000 0.0000 0.6255
Co1 0.0000 0.0000 0.2487
Co2 0.0000 0.0000 0.4999
Co3 0.0000 0.0000 0.7510
Si1 0.0000 0.0000 0.3741
Si2 0.0000 0.0000 0.8756

---

The following is a DFT calculation (SCAN) of Mn3BiW at its PBEsol-relaxed geometry.

Unit cell a=4.587 b=4.587 c=4.587 alpha=90.00 beta=90.00 gamma=90.00
Space group Pm-3m (No. 221)
Inequivalent atoms, fractional coordinates:
Mn1 0.000 0.000 0.500
Bi1 0.500 0.500 0.500
W1 0.000 0.000 0.000

Output
ΔE_f   1043 meV per atom

---

Number 1: raw total energy -16.25 eV/atom. Number 2: raw total energy -39.56 eV/atom.